## BeMoPt2 (PBE)

Data for a relaxed BeMoPt2 crystal.

Cell lengths 2.7810, 2.7810, 25.0114 Å; angles 90.00, 90.00, 120.00 degrees
Space group R-3m (No. 166, hexagonal axes)
Unique sites:
Be 0.0000 0.0000 0.0000 x3
Mo 0.0000 0.0000 0.5000 x3
Pt 0.0000 0.0000 0.2599 x6

Computed properties:
Energy   -83.3 eV per cell

---

## Na5ScS4 (PBE)

Data for a relaxed Na5ScS4 crystal.

Cell lengths 4.078, 7.423, 15.196 Å; angles 90.00, 90.00, 90.00 degrees
Space group Immm (No. 71)
Unique sites:
Na 0.000 0.000 0.000 x2
Na 0.000 0.239 0.326 x8
Sc 0.000 0.500 0.000 x2
S 0.000 0.236 0.500 x4
S 0.000 0.500 0.184 x4

Computed properties:
Energy   -83.4 eV per cell
Formation energy without anion corrections   -1.227 eV/atom

---

## AcFeIr (PBE)

Data for a relaxed AcFeIr crystal.

Cell lengths 4.1997, 4.1997, 4.5155 Å; angles 90.00, 90.00, 120.00 degrees
Space group P-6m2 (No. 187)
Unique sites:
Ac 0.0000 0.0000 0.0000 x1
Fe 0.3333 0.6667 0.5000 x1
Ir 0.6667 0.3333 0.5000 x1

Computed properties:
Relative energy among the computed polymorphs   0 meV/atom
Energy   -22.3 eV per cell

---

## CsSiTcAu2 (PBE)

Data for a relaxed CsSiTcAu2 crystal.

Cell lengths 5.807, 5.807, 5.201 Å; angles 90.00, 90.00, 90.00 degrees
Space group P4/mmm (No. 123)
Unique sites:
Cs 0.000 0.000 0.000 x1
Si 0.500 0.500 0.500 x1
Tc 0.000 0.000 0.500 x1
Au 0.000 0.500 0.000 x2

Computed properties:
Energy   -11.2 eV per cell
Formation energy without anion corrections   2.399 eV/atom

---

## Pr5NdSm2 (PBE)

Data for a relaxed Pr5NdSm2 crystal.

Cell lengths 7.370, 14.740, 5.222 Å; angles 90.00, 90.00, 90.00 degrees
Space group Pbam (No. 55)
Unique sites:
Pr 0.000 0.000 0.000 x2
Pr 0.001 0.250 0.000 x4
Pr 0.250 0.375 0.500 x4
Nd 0.000 0.500 0.000 x2
Sm 0.249 0.625 0.500 x4

Computed properties:
Energy   -76.0 eV per cell

---

## Li2AlSn (PBE)

Data for a relaxed Li2AlSn crystal.

Cell lengths 3.1424, 3.1424, 27.6808 Å; angles 90.00, 90.00, 120.00 degrees
Space group R3m (No. 160, hexagonal axes)
Unique sites:
Li 0.0000 0.0000 0.0000 x3
Li 0.0000 0.0000 0.1617 x3
Al 0.0000 0.0000 0.4146 x3
Sn 0.0000 0.0000 0.5805 x3

Computed properties:
Energy   -35.9 eV per cell

---

Q: Among the records above, which one has the highest energy?
A: CsSiTcAu2

---

Q: What is the energy in the fourth record?
A: -11.2 eV per cell